No. 1
Here is crystalline RuNCl2 at its relaxed geometry from Alexandria. Energies are from PBE-GGA.

Formation energy from raw total energies = 1.45 eV/atom
Symmetry = R-3m, No. 166
Density of states at the Fermi level = 0.443 states/eV/atom

Cell: 3.0268 3.0268 32.8336 Å, 90.00 90.00 120.00°
Closest atoms and distances in Å follow each position.
Positions (direct):
Ru  0.0000  0.0000  0.0000  2 Cl 2.20
Ru  0.3333  0.6667  0.6667  2 Cl 2.20
Ru  0.6667  0.3333  0.3333  2 Cl 2.20
N  0.0000  0.0000  0.5000  6 N 3.03
N  0.3333  0.6667  0.1667  6 N 3.03
N  0.6667  0.3333  0.8333  6 N 3.03
Cl  0.0000  0.0000  0.0669  1 Ru 2.20
Cl  0.0000  0.0000  0.9331  1 Ru 2.20
Cl  0.3333  0.6667  0.5998  1 Ru 2.20
Cl  0.3333  0.6667  0.7336  1 Ru 2.20
Cl  0.6667  0.3333  0.2664  1 Ru 2.20
Cl  0.6667  0.3333  0.4002  1 Ru 2.20



No. 2
Here is crystalline Ta2CrRh at its relaxed geometry from Alexandria. Energies are from PBE-GGA.

Formation enthalpy at 0 K = -0.35 eV/f.u.
Symmetry = P2/m, No. 10
Density of states at the Fermi level = 1.082 states/eV/atom

Cell: 2.7916 4.2015 5.4155 Å, 90.00 100.52 90.00°
Closest atoms and distances in Å follow each position.
Positions (direct):
Ta  0.2230  0.0000  0.2603  2 Cr 2.60, 2 Rh 2.72, 4 Ta 2.77-2.87
Ta  0.7770  0.0000  0.7397  2 Cr 2.60, 2 Rh 2.72, 4 Ta 2.77-2.87
Cr  0.0000  0.5000  0.5000  4 Ta 2.60, 2 Cr 2.79, 2 Rh 2.81
Rh  0.5000  0.5000  0.0000  4 Ta 2.72, 2 Rh 2.79, 2 Cr 2.81



No. 3
Here is crystalline CeTmH at its relaxed geometry from Alexandria. Energies are from PBE-GGA.

Symmetry = I4mm, No. 107
VASP energy = -0.341 Ry per atom
Density of states at the Fermi level = 1.788 states/eV/atom

Cell: 3.2322 3.2322 12.0266 Å, 90.00 90.00 90.00°
Closest atoms and distances in Å follow each position.
Positions (direct):
Ce  0.0000  0.0000  0.0000  1 H 2.25
Ce  0.5000  0.5000  0.5000  1 H 2.25
Tm  0.0000  0.0000  0.7126  4 H 2.31
Tm  0.5000  0.5000  0.2126  4 H 2.31
H  0.0000  0.0000  0.1871  1 Ce 2.25, 4 Tm 2.31
H  0.5000  0.5000  0.6871  1 Ce 2.25, 4 Tm 2.31



No. 4
Here is crystalline Sr2NiSb at its relaxed geometry from Alexandria. Energies are from PBE-GGA.

Formation energy from raw total energies = -0.30 eV/atom
Symmetry = Pmmm, No. 47
Density of states at the Fermi level = 0.257 states/eV/atom

Cell: 3.6058 3.8159 8.2514 Å, 90.00 90.00 90.00°
Closest atoms and distances in Å follow each position.
Positions (direct):
Sr  0.0000  0.0000  0.2222  4 Ni 3.20, 4 Sb 3.49
Sr  0.0000  0.0000  0.7778  4 Ni 3.20, 4 Sb 3.49
Ni  0.5000  0.5000  0.0000  8 Sr 3.20
Sb  0.5000  0.5000  0.5000  8 Sr 3.49, 4 Sb 3.61-3.82



No. 5
Here is crystalline Mg2ScSn4 at its relaxed geometry from Alexandria. Energies are from PBE-GGA.

Formation enthalpy at 0 K = 1.11 eV/f.u.
Symmetry = I4/mmm, No. 139
Density of states at the Fermi level = 0.520 states/eV/atom

Cell: 5.4997 5.4997 14.4065 Å, 90.00 90.00 90.00°
Closest atoms and distances in Å follow each position.
Positions (direct):
Mg  0.0000  0.0000  0.1090  1 Sn 2.82, 1 Mg 3.14
Mg  0.0000  0.0000  0.8910  1 Sn 2.82, 1 Mg 3.14
Mg  0.5000  0.5000  0.3910  1 Sn 2.82, 1 Mg 3.14
Mg  0.5000  0.5000  0.6090  1 Sn 2.82, 1 Mg 3.14
Sc  0.0000  0.0000  0.5000  6 Sn 2.75-2.81
Sc  0.5000  0.5000  0.0000  6 Sn 2.75-2.81
Sn  0.0000  0.0000  0.3049  1 Sc 2.81, 1 Mg 2.82
Sn  0.0000  0.0000  0.6951  1 Sc 2.81, 1 Mg 2.82
Sn  0.0000  0.5000  0.0000  2 Sc 2.75
Sn  0.0000  0.5000  0.5000  2 Sc 2.75
Sn  0.5000  0.0000  0.0000  2 Sc 2.75
Sn  0.5000  0.0000  0.5000  2 Sc 2.75
Sn  0.5000  0.5000  0.1951  1 Sc 2.81, 1 Mg 2.82
Sn  0.5000  0.5000  0.8049  1 Sc 2.81, 1 Mg 2.82



No. 6
Here is crystalline Zn3CdAg5 at its relaxed geometry from Alexandria. Energies are from PBE-GGA.

Formation enthalpy at 0 K = -0.13 eV/f.u.
Symmetry = P6_3/mcm, No. 193
Density of states at the Fermi level = 0.281 states/eV/atom

Cell: 7.9496 7.9496 5.6658 Å, 90.00 90.00 120.00°
Closest atoms and distances in Å follow each position.
Positions (direct):
Zn  0.0000  0.3497  0.2500  5 Ag 2.59-2.84
Zn  0.0000  0.6503  0.7500  5 Ag 2.59-2.84
Zn  0.3497  0.0000  0.2500  5 Ag 2.59-2.84
Zn  0.3497  0.3497  0.7500  5 Ag 2.59-2.84
Zn  0.6503  0.0000  0.7500  5 Ag 2.59-2.84
Zn  0.6503  0.6503  0.2500  5 Ag 2.59-2.84
Cd  0.0000  0.0000  0.0000  2 Cd 2.83, 6 Ag 2.94, 6 Zn 3.12
Cd  0.0000  0.0000  0.5000  2 Cd 2.83, 6 Ag 2.94, 6 Zn 3.12
Ag  0.0000  0.3243  0.7500  5 Zn 2.59-2.84
Ag  0.0000  0.6757  0.2500  5 Zn 2.59-2.84
Ag  0.3243  0.0000  0.7500  5 Zn 2.59-2.84
Ag  0.3243  0.3243  0.2500  5 Zn 2.59-2.84
Ag  0.3333  0.6667  0.0000  8 Ag 2.83-3.04, 6 Zn 2.95
Ag  0.3333  0.6667  0.5000  8 Ag 2.83-3.04, 6 Zn 2.95
Ag  0.6667  0.3333  0.0000  8 Ag 2.83-3.04, 6 Zn 2.95
Ag  0.6667  0.3333  0.5000  8 Ag 2.83-3.04, 6 Zn 2.95
Ag  0.6757  0.0000  0.2500  5 Zn 2.59-2.84
Ag  0.6757  0.6757  0.7500  5 Zn 2.59-2.84



No. 7
Here is crystalline NbZnCo at its relaxed geometry from Alexandria. Energies are from PBE-GGA.

Formation enthalpy at 0 K = -0.17 eV/f.u.
Symmetry = P3m1, No. 156
Density of states at the Fermi level = 0.992 states/eV/atom

Cell: 4.2369 4.2369 2.7187 Å, 90.00 90.00 120.00°
Closest atoms and distances in Å follow each position.
Positions (direct):
Nb  0.0000  0.0000  0.0000  2 Nb 2.72, 6 Co 2.79-2.81, 6 Zn 2.80
Zn  0.3333  0.6667  0.4997  3 Co 2.45, 2 Zn 2.72
Co  0.6667  0.3333  0.5072  3 Zn 2.45, 2 Co 2.72



No. 8
Here is crystalline LuPa3 at its relaxed geometry from Alexandria. Energies are from PBE-GGA.

Formation enthalpy at 0 K = 0.57 eV/f.u.
Symmetry = Pm-3m, No. 221
Density of states at the Fermi level = 2.142 states/eV/atom

Cell: 4.6807 4.6807 4.6807 Å, 90.00 90.00 90.00°
Closest atoms and distances in Å follow each position.
Positions (direct):
Lu  0.0000  0.0000  0.0000  12 Pa 3.31
Pa  0.0000  0.5000  0.5000  8 Pa 3.31, 4 Lu 3.31
Pa  0.5000  0.0000  0.5000  8 Pa 3.31, 4 Lu 3.31
Pa  0.5000  0.5000  0.0000  8 Pa 3.31, 4 Lu 3.31